(1)
A relaxed structure of CuPCl2, computed with PBE.

Calculated values
- electronic total energy (eV per cell) = -11.8
- crystal system = trigonal
- calculated density (g cm⁻³) = 3.514
- polymorph energy (0 for the lowest one) (meV/atom) = 687
- volume (Å³ per cell) = 78.17
- Fermi-level density of states (states/eV per cell) = 1.22

Cell and atoms, written as POSCAR:
```
CuPCl2
1.0
0.045 8.734 0.219
3.090 8.089 1.162
2.352 8.172 -2.004
P Cu Cl
1 1 2
Cartesian
2.743 12.498 -0.311 P
0.000 0.000 0.000 Cu
5.032 22.922 -0.571 Cl
0.455 2.073 -0.052 Cl
```


(2)
A relaxed structure of CsK2RbCl, computed with PBE.

Calculated values
- electronic total energy (eV per cell) = -9.2
- crystal system = tetragonal
- calculated density (g cm⁻³) = 1.698
- polymorph energy (0 for the lowest one) (meV/atom) = 36
- volume (Å³ per cell) = 324.62
- Fermi-level density of states (states/eV per cell) = 3.04

Cell and atoms, written as POSCAR:
```
CsK2RbCl
1.0
6.806 0.000 0.000
0.000 6.806 0.000
0.000 0.000 7.008
Cs K Rb Cl
1 2 1 1
Cartesian
3.403 3.403 3.504 Cs
0.000 3.403 0.000 K
3.403 0.000 0.000 K
0.000 0.000 3.504 Rb
0.000 0.000 0.000 Cl
```


(3)
A relaxed structure of Mg2CrH, computed with PBE.

Calculated values
- electronic total energy (eV per cell) = -13.0
- crystal system = cubic
- calculated density (g cm⁻³) = 2.360
- polymorph energy (0 for the lowest one) (meV/atom) = 15
- volume (Å³ per cell) = 71.50
- Fermi-level density of states (states/eV per cell) = 1.79

Cell and atoms, written as POSCAR:
```
Mg2CrH
1.0
0.227 -0.071 4.653
-2.415 -3.179 2.401
2.230 -3.467 2.171
Cr Mg H
1 2 1
Cartesian
0.021 -3.359 4.612 Cr
0.010 -1.679 2.306 Mg
0.031 -5.038 6.919 Mg
0.000 0.000 0.000 H
```


(4)
A relaxed structure of Li3NpNb2N6, computed with PBE.

Calculated values
- electronic total energy (eV per cell) = -99.3
- crystal system = monoclinic
- calculated density (g cm⁻³) = 6.430
- volume (Å³ per cell) = 136.27
- Fermi-level density of states (states/eV per cell) = 4.02

Cell and atoms, written as POSCAR:
```
Li3NpNb2N6
1.0
-1.462 -0.484 2.809
2.378 -5.866 0.228
5.609 3.894 1.764
Li Np Nb N
3 1 2 6
Cartesian
0.458 -3.175 1.519 Li
2.791 1.191 3.485 Li
3.734 -3.647 1.316 Li
-0.731 -0.242 1.404 Np
4.071 -1.586 3.673 Nb
2.454 -0.870 1.128 Nb
5.449 -2.736 2.366 N
2.323 -2.331 2.635 N
1.076 0.281 2.435 N
0.700 -1.361 0.130 N
5.824 -1.095 4.671 N
4.202 -0.124 2.166 N
```


(5)
A relaxed structure of ZnSnAsSe2, computed with PBE.

Calculated values
- electronic total energy (eV per cell) = -15.5
- crystal system = tetragonal
- calculated density (g cm⁻³) = 5.683
- polymorph energy (0 for the lowest one) (meV/atom) = 0
- volume (Å³ per cell) = 121.84
- Fermi-level density of states (states/eV per cell) = 4.48

Cell and atoms, written as POSCAR:
```
ZnSnAsSe2
1.0
5.074 0.000 0.000
0.000 5.074 0.000
0.000 0.000 4.733
Zn As Sn Se
1 1 1 2
Cartesian
0.000 0.000 0.000 Zn
0.000 0.000 2.366 As
2.537 2.537 2.366 Sn
0.000 2.537 0.000 Se
2.537 0.000 0.000 Se
```


(6)
A relaxed structure of NdTm2PaSb4, computed with PBE.

Calculated values
- electronic total energy (eV per cell) = -47.2
- crystal system = monoclinic
- calculated density (g cm⁻³) = 8.334
- volume (Å³ per cell) = 239.14
- Fermi-level density of states (states/eV per cell) = 6.62

Cell and atoms, written as POSCAR:
```
NdTm2PaSb4
1.0
4.388 0.000 0.000
0.000 7.624 0.146
0.000 -2.648 7.098
Nd Tm Pa Sb
1 2 1 4
Cartesian
0.000 0.000 0.000 Nd
2.194 -1.324 3.549 Tm
0.000 2.488 3.622 Tm
2.194 3.812 0.073 Pa
2.194 1.284 1.875 Sb
2.194 3.691 5.370 Sb
0.000 -0.049 5.312 Sb
0.000 5.025 1.932 Sb
```


(7)
A relaxed structure of PmScTlIr, computed with PBE.

Calculated values
- electronic total energy (eV per cell) = -23.9
- formation energy from the elements (eV/atom) = -0.397
- crystal system = cubic
- calculated density (g cm⁻³) = 10.759
- volume (Å³ per cell) = 90.53
- Fermi-level density of states (states/eV per cell) = 2.57

Cell and atoms, written as POSCAR:
```
PmScTlIr
1.0
-1.471 4.761 0.754
-3.307 1.067 3.651
1.508 2.481 4.120
Sc Tl Ir Pm
1 1 1 1
Cartesian
-2.452 6.232 6.394 Sc
-1.635 4.155 4.262 Tl
0.000 0.000 0.000 Ir
-0.817 2.077 2.131 Pm
```


(8)
A relaxed structure of SrMo2IrRh, computed with PBE.

Calculated values
- electronic total energy (eV per cell) = -33.5
- formation energy from the elements (eV/atom) = 1.212
- crystal system = tetragonal
- calculated density (g cm⁻³) = 8.368
- volume (Å³ per cell) = 114.03
- Fermi-level density of states (states/eV per cell) = 7.49

Cell and atoms, written as POSCAR:
```
SrMo2IrRh
1.0
4.733 0.000 0.000
0.000 5.091 0.000
0.000 0.000 4.733
Sr Mo Ir Rh
1 2 1 1
Cartesian
2.366 2.545 2.366 Sr
0.000 0.000 2.366 Mo
2.366 0.000 0.000 Mo
0.000 2.545 0.000 Ir
0.000 0.000 0.000 Rh
```


The highest Fermi-level density of states belongs to which entry?
SrMo2IrRh


Copy entry 3 word for word.
A relaxed structure of Mg2CrH, computed with PBE.

Calculated values
- electronic total energy (eV per cell) = -13.0
- crystal system = cubic
- calculated density (g cm⁻³) = 2.360
- polymorph energy (0 for the lowest one) (meV/atom) = 15
- volume (Å³ per cell) = 71.50
- Fermi-level density of states (states/eV per cell) = 1.79

Cell and atoms, written as POSCAR:
```
Mg2CrH
1.0
0.227 -0.071 4.653
-2.415 -3.179 2.401
2.230 -3.467 2.171
Cr Mg H
1 2 1
Cartesian
0.021 -3.359 4.612 Cr
0.010 -1.679 2.306 Mg
0.031 -5.038 6.919 Mg
0.000 0.000 0.000 H
```


What did the fifth record say?
A relaxed structure of ZnSnAsSe2, computed with PBE.

Calculated values
- electronic total energy (eV per cell) = -15.5
- crystal system = tetragonal
- calculated density (g cm⁻³) = 5.683
- polymorph energy (0 for the lowest one) (meV/atom) = 0
- volume (Å³ per cell) = 121.84
- Fermi-level density of states (states/eV per cell) = 4.48

Cell and atoms, written as POSCAR:
```
ZnSnAsSe2
1.0
5.074 0.000 0.000
0.000 5.074 0.000
0.000 0.000 4.733
Zn As Sn Se
1 1 1 2
Cartesian
0.000 0.000 0.000 Zn
0.000 0.000 2.366 As
2.537 2.537 2.366 Sn
0.000 2.537 0.000 Se
2.537 0.000 0.000 Se
```


Which formula does entry 7 have?
PmScTlIr